No. 1
{"formula": "MgCu2Pb", "functional": "SCAN", "state": "PBEsol geometry", "lattice_angstrom": [[-0.079, -3.701, 0.455], [1.443, 0.457, 3.965], [-3.997, 0.258, 1.404]], "species": ["Cu", "Cu", "Pb", "Mg"], "frac_coords": [[0.000, 0.500, 0.000], [0.000, 0.000, 0.500], [0.500, 0.500, 0.500], [0.500, 0.000, 0.000]], "volume_a3_per_atom": 16.8, "delta_e_f_ev_per_atom": 0.101, "space_group": "No. 65", "mass_density_g_cm3": 8.86}


No. 2
{"formula": "Mg2CuPb", "functional": "SCAN", "state": "PBEsol geometry", "lattice_angstrom": [[3.341, 0.000, -0.012], [0.000, 4.325, 0.000], [-1.677, 0.000, 5.631]], "species": ["Cu", "Mg", "Mg", "Pb"], "frac_coords": [[0.336, 0.500, 0.796], [0.912, 0.000, 0.948], [0.567, 0.500, 0.261], [0.184, 0.000, 0.495]], "volume_a3_per_atom": 20.3, "delta_e_f_ev_per_atom": -0.045, "space_group": "No. 6", "mass_density_g_cm3": 6.52}


No. 3
{"formula": "Mg2CuRhPb", "functional": "SCAN", "state": "PBEsol geometry", "lattice_angstrom": [[-1.446, -0.366, 4.416], [-4.264, -1.150, -1.491], [1.245, -4.643, 0.023]], "species": ["Pb", "Rh", "Cu", "Mg", "Mg"], "frac_coords": [[0.000, 0.000, 0.500], [0.500, 0.500, 0.500], [0.000, 0.000, 0.000], [0.500, 0.000, 0.000], [0.000, 0.500, 0.000]], "volume_a3_per_atom": 20.9, "delta_e_f_ev_per_atom": 0.483, "space_group": "No. 123", "mass_density_g_cm3": 6.71}


No. 4
{"formula": "Pr2MgCu2", "functional": "SCAN", "state": "PBEsol geometry", "lattice_angstrom": [[-2.619, 0.849, -2.616], [-0.940, -7.523, -1.499], [-5.517, -0.386, 5.398]], "species": ["Pr", "Pr", "Pr", "Pr", "Cu", "Cu", "Cu", "Cu", "Mg", "Mg"], "frac_coords": [[0.500, 0.829, 0.671], [0.500, 0.671, 0.171], [0.500, 0.329, 0.829], [0.500, 0.171, 0.329], [0.000, 0.121, 0.621], [0.000, 0.879, 0.379], [0.000, 0.379, 0.121], [0.000, 0.621, 0.879], [0.000, 0.000, 0.000], [0.000, 0.500, 0.500]], "volume_a3_per_atom": 22.7, "delta_e_f_ev_per_atom": -0.207, "space_group": "No. 127", "mass_density_g_cm3": 6.34}


No. 5
{"formula": "MgCu2Pt", "functional": "SCAN", "state": "PBEsol geometry", "lattice_angstrom": [[-1.665, -2.870, 1.829], [1.522, -2.449, -2.457], [3.087, 2.318, 2.523]], "species": ["Mg", "Cu", "Cu", "Pt"], "frac_coords": [[0.500, 0.500, 0.000], [0.750, 0.250, 0.500], [0.250, 0.750, 0.500], [0.000, 0.000, 0.000]], "volume_a3_per_atom": 13.5, "delta_e_f_ev_per_atom": -0.393, "space_group": "No. 139", "mass_density_g_cm3": 10.68}


No. 6
{"formula": "Mg2CuPt", "functional": "SCAN", "state": "PBEsol geometry", "lattice_angstrom": [[3.092, 0.000, 0.000], [0.000, 3.092, 0.000], [0.000, 0.000, 6.327]], "species": ["Mg", "Mg", "Pt", "Cu"], "frac_coords": [[0.000, 0.000, 0.748], [0.000, 0.000, 0.252], [0.500, 0.500, 0.000], [0.500, 0.500, 0.500]], "volume_a3_per_atom": 15.1, "delta_e_f_ev_per_atom": -0.567, "space_group": "No. 123", "mass_density_g_cm3": 8.43}


No. 7
{"formula": "MgCu3Pt", "functional": "SCAN", "state": "PBEsol geometry", "lattice_angstrom": [[-3.590, 1.257, 2.620], [-2.795, -2.630, -2.569], [0.793, -3.582, 2.805]], "species": ["Cu", "Cu", "Cu", "Pt", "Mg"], "frac_coords": [[0.000, 0.000, 0.500], [0.500, 0.000, 0.000], [0.000, 0.500, 0.000], [0.000, 0.000, 0.000], [0.500, 0.500, 0.500]], "volume_a3_per_atom": 19.7, "delta_e_f_ev_per_atom": 0.604, "space_group": "No. 221", "mass_density_g_cm3": 6.91}


No. 8
{"formula": "MgCu2Pt", "functional": "SCAN", "state": "PBEsol geometry", "lattice_angstrom": [[-0.729, 2.895, -2.319], [-3.135, 0.782, 1.962], [3.904, 0.452, 2.418]], "species": ["Pt", "Cu", "Cu", "Mg"], "frac_coords": [[0.250, 0.750, 0.500], [0.750, 0.250, 0.500], [0.500, 0.500, 0.000], [0.000, 0.000, 0.000]], "volume_a3_per_atom": 13.4, "delta_e_f_ev_per_atom": -0.418, "space_group": "No. 119", "mass_density_g_cm3": 10.71}


Looking at energy for the records above, in order, we have -110.75, -101.11, -132.28, -246.12, -107.14, -97.61, -117.75, -107.24 eV for the cell shown.